Material: Ca2AcHg8
Method: DFT, GGA-PBE
State: relaxed

```
11
Lattice="-2.6266 4.0186 7.2457 2.6266 -4.0186 7.2457 2.6266 4.0186 -7.2457" Properties=species:S:1:pos:R:3 pbc="T T T"
Ca 0.0000 0.0000 2.9688
Ca 0.0000 0.0000 11.5226
Ac 0.0000 0.0000 7.2457
Hg 2.6266 1.5558 -2.1319
Hg 0.0000 1.5501 0.0000
Hg 2.6266 1.5558 2.1319
Hg 2.6266 0.0000 4.9831
Hg 0.0000 4.0186 2.2626
Hg 0.0000 2.4628 5.1138
Hg 0.0000 6.4870 0.0000
Hg 0.0000 2.4628 9.3776
```

Results
uncorrected energy = -1.31 eV per atom
space-group type = Immm (71)
theoretical density = 10.378 g/cm3